The following is a PBE calculation of crystalline NdSi3Ru3 at its relaxed geometry, from Alexandria.

Properties
- ρ: 8.01 g cm⁻³
- Energy relative to the lowest polymorph listed for this composition: 0 meV/atom
- Calculated volume: 441.15 Å³/cell
- Calculated total energy: -208.1 eV per cell
- Space group: P2_13

Lattice parameters (Å, degrees): 7.6125 7.6125 7.6125 90.00 90.00 90.00
Closest atoms and distances in Å follow each position.
Atoms (fractional coordinates):
Nd 0.0557 0.5557 0.9443  6 Si 2.83-3.00, 5 Ru 2.88-3.04
Nd 0.9443 0.0557 0.5557  6 Si 2.83-3.00, 5 Ru 2.88-3.04
Nd 0.4443 0.4443 0.4443  6 Si 2.83-3.00, 5 Ru 2.88-3.04
Nd 0.5557 0.9443 0.0557  6 Si 2.83-3.00, 5 Ru 2.88-3.04
Si 0.6890 0.5786 0.9972  4 Ru 2.40-2.58, 2 Si 2.56
Si 0.9214 0.0028 0.1890  4 Ru 2.40-2.58, 2 Si 2.56
Si 0.9972 0.6890 0.5786  4 Ru 2.40-2.58, 2 Si 2.56
Si 0.0786 0.5028 0.3110  4 Ru 2.40-2.58, 2 Si 2.56
Si 0.3110 0.0786 0.5028  4 Ru 2.40-2.58, 2 Si 2.56
Si 0.1890 0.9214 0.0028  4 Ru 2.40-2.58, 2 Si 2.56
Si 0.0028 0.1890 0.9214  4 Ru 2.40-2.58, 2 Si 2.56
Si 0.4214 0.4972 0.8110  4 Ru 2.40-2.58, 2 Si 2.56
Si 0.5028 0.3110 0.0786  4 Ru 2.40-2.58, 2 Si 2.56
Si 0.5786 0.9972 0.6890  4 Ru 2.40-2.58, 2 Si 2.56
Si 0.8110 0.4214 0.4972  4 Ru 2.40-2.58, 2 Si 2.56
Si 0.4972 0.8110 0.4214  4 Ru 2.40-2.58, 2 Si 2.56
Ru 0.8248 0.3248 0.1751  6 Si 2.56-2.58
Ru 0.8945 0.8945 0.8945  3 Si 2.40
Ru 0.7863 0.7137 0.2863  6 Si 2.54-2.75
Ru 0.1752 0.8249 0.3248  6 Si 2.56-2.58
Ru 0.2137 0.2137 0.2137  6 Si 2.54-2.75
Ru 0.2863 0.7863 0.7137  6 Si 2.54-2.75
Ru 0.1055 0.3945 0.6055  3 Si 2.40
Ru 0.3249 0.1751 0.8249  6 Si 2.56-2.58
Ru 0.7137 0.2863 0.7863  6 Si 2.54-2.75
Ru 0.6751 0.6752 0.6752  6 Si 2.56-2.58
Ru 0.6055 0.1055 0.3945  3 Si 2.40
Ru 0.3945 0.6055 0.1055  3 Si 2.40

=====

The following is a PBE calculation of crystalline PrHoGa2Pd2 at its relaxed geometry, from Alexandria.

Properties
- ρ: 8.67 g cm⁻³
- Calculated volume: 126.00 Å³/cell
- Calculated total energy: -30.8 eV per cell
- E_form: -834.7 meV/atom
- Space group: P-3m1

Lattice parameters (Å, degrees): 4.5262 4.5262 7.1018 90.00 90.00 120.00
Closest atoms and distances in Å follow each position.
Atoms (fractional coordinates):
Pr 0.0000 0.0000 0.0000  6 Ga 3.26, 6 Pd 3.28, 2 Ho 3.55
Ho 0.0000 0.0000 0.5000  6 Pd 3.05, 6 Ga 3.07
Ga 0.6667 0.3333 0.7267  3 Pd 2.61
Ga 0.3333 0.6667 0.2733  3 Pd 2.61
Pd 0.6667 0.3333 0.2786  3 Ga 2.61
Pd 0.3333 0.6667 0.7214  3 Ga 2.61

=====

The following is a PBE calculation of crystalline NaDy2In9 at its relaxed geometry, from Alexandria.

Properties
- ρ: 7.57 g cm⁻³
- Calculated volume: 303.06 Å³/cell
- Calculated total energy: -38.6 eV per cell
- E_form: -289.7 meV/atom
- Space group: P4/mmm

Lattice parameters (Å, degrees): 4.6406 4.6406 14.0730 90.00 90.00 90.00
Closest atoms and distances in Å follow each position.
Atoms (fractional coordinates):
Na 0.0000 0.0000 0.0000  12 In 3.28-3.30
Dy 0.0000 0.0000 0.3355  12 In 3.28-3.32
Dy 0.0000 0.0000 0.6646  12 In 3.28-3.32
In 0.5000 0.5000 0.0000  4 Na 3.28, 8 In 3.30
In 0.5000 0.5000 0.3350  4 Dy 3.28, 8 In 3.28-3.31
In 0.5000 0.5000 0.6650  4 Dy 3.28, 8 In 3.28-3.31
In 0.5000 0.0000 0.1668  8 In 3.28-3.31, 2 Na 3.30, 2 Dy 3.32
In 0.5000 0.0000 0.5000  4 Dy 3.28, 8 In 3.28
In 0.5000 0.0000 0.8332  8 In 3.28-3.31, 2 Na 3.30, 2 Dy 3.32
In 0.0000 0.5000 0.1668  8 In 3.28-3.31, 2 Na 3.30, 2 Dy 3.32
In 0.0000 0.5000 0.5000  4 Dy 3.28, 8 In 3.28
In 0.0000 0.5000 0.8332  8 In 3.28-3.31, 2 Na 3.30, 2 Dy 3.32

=====

The following is a PBE calculation of crystalline KCrS2N at its relaxed geometry, from Alexandria.

Properties
- ρ: 3.30 g cm⁻³
- Energy relative to the lowest polymorph listed for this composition: 0 meV/atom
- Calculated volume: 85.09 Å³/cell
- Calculated total energy: -28.0 eV per cell
- Space group: P4/mmm

Lattice parameters (Å, degrees): 4.8517 4.8517 3.6150 90.00 90.00 90.00
Closest atoms and distances in Å follow each position.
Atoms (fractional coordinates):
Cr 0.0000 0.0000 0.0000  2 N 1.81
K 0.5000 0.5000 0.5000  8 S 3.03
S 0.0000 0.5000 0.0000  2 Cr 2.43
S 0.5000 0.0000 0.0000  2 Cr 2.43
N 0.0000 0.0000 0.5000  2 Cr 1.81

=====

The following is a PBE calculation of crystalline Mg6Hg2Pt at its relaxed geometry, from Alexandria.

Properties
- ρ: 5.84 g cm⁻³
- Energy relative to the lowest polymorph listed for this composition: 94 meV/atom
- Calculated volume: 210.97 Å³/cell
- Calculated total energy: -18.9 eV per cell
- E_form: -303.4 meV/atom
- Space group: Immm

Lattice parameters (Å, degrees): 4.5076 6.7314 8.0469 114.73 106.26 90.00
Closest atoms and distances in Å follow each position.
Atoms (fractional coordinates):
Mg 0.1587 0.3907 0.3164  1 Pt 2.70, 3 Hg 2.89-2.92
Mg 0.8413 0.0744 0.6836  1 Pt 2.70, 3 Hg 2.89-2.92
Mg 0.8413 0.6093 0.6836  1 Pt 2.70, 3 Hg 2.89-2.92
Mg 0.5000 0.2264 0.0000  2 Pt 2.72, 2 Hg 2.94
Mg 0.1587 0.9256 0.3164  1 Pt 2.70, 3 Hg 2.89-2.92
Mg 0.5000 0.7736 0.0000  2 Pt 2.72, 2 Hg 2.94
Hg 0.6653 0.6649 0.3297  8 Mg 2.89-2.94
Hg 0.3347 0.3351 0.6703  8 Mg 2.89-2.94
Pt 0.0000 0.0000 0.0000  8 Mg 2.70-2.72

=====

The following is a PBE calculation of crystalline Zr2NbTc3 at its relaxed geometry, from Alexandria.

Properties
- ρ: 9.10 g cm⁻³
- Calculated volume: 207.75 Å³/cell
- Calculated total energy: -120.9 eV per cell
- E_form: -366.6 meV/atom
- Space group: Cmmm

Lattice parameters (Å, degrees): 4.6084 7.2784 6.5297 90.00 90.00 71.54
Closest atoms and distances in Å follow each position.
Atoms (fractional coordinates):
Zr 0.0000 0.0000 0.0000  8 Tc 2.80-2.82
Zr 0.0000 0.0000 0.5000  8 Tc 2.85-2.88
Zr 0.3334 0.3332 0.5000  8 Tc 2.83-2.86
Zr 0.6666 0.6668 0.5000  8 Tc 2.83-2.86
Nb 0.3325 0.3350 0.0000  8 Tc 2.75-2.81
Nb 0.6675 0.6650 0.0000  8 Tc 2.75-2.81
Tc 0.8308 0.3385 0.7584  3 Nb 2.75-2.79, 5 Zr 2.82-2.88
Tc 0.5000 0.0000 0.2442  6 Zr 2.80-2.85, 2 Nb 2.81
Tc 0.1692 0.6615 0.2416  3 Nb 2.75-2.79, 5 Zr 2.82-2.88
Tc 0.8307 0.3385 0.2416  3 Nb 2.75-2.79, 5 Zr 2.82-2.88
Tc 0.1693 0.6615 0.7584  3 Nb 2.75-2.79, 5 Zr 2.82-2.88
Tc 0.5000 0.0000 0.7558  6 Zr 2.80-2.85, 2 Nb 2.81

=====

The following is a PBE calculation of crystalline KV2Cr2 at its relaxed geometry, from Alexandria.

Properties
- ρ: 3.76 g cm⁻³
- Calculated volume: 108.32 Å³/cell
- Calculated total energy: -33.4 eV per cell
- E_form: 1029.7 meV/atom
- Space group: I4/mmm

Lattice parameters (Å, degrees): 3.5485 3.5485 8.9609 78.58 78.58 90.00
Closest atoms and distances in Å follow each position.
Atoms (fractional coordinates):
Cr 0.7500 0.2500 0.5000  4 V 2.38, 4 Cr 2.51
Cr 0.2500 0.7500 0.5000  4 V 2.38, 4 Cr 2.51
K 0.0000 0.0000 0.0000  4 K 3.55, 8 V 3.70
V 0.3420 0.3420 0.3160  4 Cr 2.38
V 0.6580 0.6580 0.6840  4 Cr 2.38

=====

The following is a PBE calculation of crystalline Al2CoTc at its relaxed geometry, from Alexandria.

Properties
- ρ: 6.49 g cm⁻³
- Energy relative to the lowest polymorph listed for this composition: 282 meV/atom
- Calculated volume: 53.95 Å³/cell
- Calculated total energy: -25.5 eV per cell
- E_form: -138.6 meV/atom
- Space group: F-43m

Lattice parameters (Å, degrees): 4.2412 4.2412 4.2412 60.00 60.00 60.00
Closest atoms and distances in Å follow each position.
Atoms (fractional coordinates):
Co 0.5000 0.5000 0.5000  4 Tc 2.60, 4 Al 2.60
Tc 0.7500 0.7500 0.7500  4 Co 2.60, 4 Al 2.60
Al 0.0000 0.0000 0.0000  4 Tc 2.60, 4 Al 2.60
Al 0.2500 0.2500 0.2500  4 Al 2.60, 4 Co 2.60